Compound: LaTb4Nd2Sm
Source: Alexandria via LeMat-Bulk
Functional: PBE
Structure: optimized geometry

Cell: 3.638 6.277 11.950 Å, 79.69 90.00 90.00°
Atoms (fractional coordinates):
La 0.500 0.500 0.000
Tb 0.000 0.750 0.748
Tb 0.000 0.250 0.252
Tb 0.500 0.750 0.251
Tb 0.500 0.250 0.749
Nd 0.000 0.000 0.000
Nd 0.500 0.000 0.500
Sm 0.000 0.500 0.500

Calculated values
Crystal system: monoclinic

Compound: La2TbNdSm6
Source: Alexandria via LeMat-Bulk
Functional: PBE
Structure: optimized geometry

Cell: 10.082 8.889 8.889 Å, 117.87 95.18 95.18°
Atoms (fractional coordinates):
La 0.459 0.808 0.711
La 0.041 0.289 0.192
La 0.541 0.192 0.289
La 0.959 0.711 0.808
Tb 0.250 0.405 0.595
Tb 0.750 0.595 0.405
Nd 0.250 0.988 0.012
Nd 0.750 0.012 0.988
Sm 0.056 0.120 0.737
Sm 0.444 0.263 0.880
Sm 0.944 0.880 0.263
Sm 0.556 0.737 0.120
Sm 0.312 0.980 0.422
Sm 0.188 0.578 0.020
Sm 0.688 0.020 0.578
Sm 0.812 0.422 0.980
Sm 0.120 0.701 0.494
Sm 0.380 0.506 0.299
Sm 0.880 0.299 0.506
Sm 0.620 0.494 0.701

Calculated values
Crystal system: monoclinic

Compound: LaTbNdSm
Source: Alexandria via LeMat-Bulk
Functional: PBE
Structure: optimized geometry

Cell: 5.165 5.166 6.353 Å, 113.99 113.99 90.00°
Atoms (fractional coordinates):
La 0.196 0.696 0.391
Tb 0.695 0.195 0.391
Nd 0.946 0.946 0.891
Sm 0.446 0.445 0.891

Calculated values
Crystal system: tetragonal

Compound: LaTbNdSm
Source: Alexandria via LeMat-Bulk
Functional: PBE
Structure: optimized geometry

Cell: 5.813 5.813 5.813 Å, 60.00 60.00 60.00°
Atoms (fractional coordinates):
Nd 0.750 0.750 0.750
Tb 0.000 0.000 0.000
Sm 0.500 0.500 0.500
La 0.250 0.250 0.250

Calculated values
Crystal system: cubic

Compound: La2TbNdSm
Source: Alexandria via LeMat-Bulk
Functional: PBE
Structure: optimized geometry

Cell: 6.940 7.989 6.428 Å, 89.98 90.00 90.00°
Atoms (fractional coordinates):
La 0.696 0.699 0.750
La 0.696 0.301 0.750
La 0.304 0.699 0.250
La 0.304 0.301 0.250
Tb 0.159 0.500 0.750
Tb 0.841 0.500 0.250
Nd 0.590 0.000 0.250
Nd 0.410 0.000 0.750
Sm 0.000 0.000 0.000
Sm 0.000 0.000 0.500

Calculated values
Crystal system: orthorhombic

Compound: LaTb4NdSm2
Source: Alexandria via LeMat-Bulk
Functional: PBE
Structure: optimized geometry

Cell: 12.485 7.264 12.492 Å, 125.53 131.44 90.05°
Atoms (fractional coordinates):
La 0.500 0.500 0.500
La 0.000 0.000 0.000
Tb 0.251 0.747 0.999
Tb 0.749 0.245 0.497
Tb 0.251 0.755 0.503
Tb 0.749 0.254 0.002
Tb 0.749 0.750 0.001
Tb 0.749 0.749 0.497
Tb 0.251 0.251 0.503
Tb 0.251 0.251 0.999
Nd 0.000 0.500 0.000
Nd 0.000 0.500 0.500
Sm 0.500 0.000 0.000
Sm 0.500 0.000 0.500
Sm 0.000 0.000 0.500
Sm 0.500 0.500 0.000

Calculated values
Crystal system: triclinic

no.,DFT formation energy (meV per atom),total energy (eV for the cell shown)
1,15,-37.583
2,114,-92.863
3,25,-18.943
4,118,-18.572
5,233,-45.616
6,16,-75.052